VASP calculation (PBE-GGA) on a geometry-optimized HgIr structure.

It has space group P-6m2 (No. 187), with a = 2.8402 Å, b = 2.8402 Å, c = 16.4237 Å, α = 90.00°, β = 90.00° and γ = 120.00°. The asymmetric unit holds Hg at (0.0000, 0.0000, 0.0000), Hg at (0.3333, 0.6667, 0.2104), Ir at (0.0000, 0.0000, 0.3686) and Ir at (0.3333, 0.6667, 0.5000).

The magnetization comes out at 0.000 μB per formula unit. The formation enthalpy at 0 K is 0.3625 eV per atom. The electronic total energy is -4.2189 eV per atom.